# 1
DFT (GGA-PBE) results for an optimized crystal structure of Ac3PtRh.

Geometry as POSCAR:
```
Ac3PtRh
1.0
4.177 0.000 0.000
0.000 8.941 -0.009
0.000 -2.019 8.830
Ac Pt Rh
6 2 2
direct
0.250 0.924 0.673
0.750 0.286 0.992
0.250 0.396 0.637
0.250 0.714 0.008
0.750 0.604 0.363
0.750 0.076 0.327
0.250 0.329 0.266
0.750 0.671 0.734
0.250 0.832 0.331
0.750 0.168 0.669
```

Calculated values
The excess energy over the best structure of this formula in the dataset comes out at 0.003 eV per atom. The symmetry is P2_1/m (11).

---

# 2
DFT (GGA-PBE) results for an optimized crystal structure of Ac12Pt2Rh5.

Geometry as POSCAR:
```
Ac12Pt2Rh5
1.0
-5.306 3.195 5.572
-0.421 -8.856 -1.552
7.822 1.065 6.838
Rh Ac Pt
5 12 2
direct
0.260 0.521 0.017
0.000 0.000 0.500
0.740 0.479 0.983
0.278 0.557 0.602
0.722 0.443 0.398
0.120 0.745 0.500
0.932 0.864 0.178
0.068 0.136 0.822
0.450 0.385 0.155
0.550 0.615 0.845
0.549 0.099 0.829
0.625 0.745 0.500
0.880 0.255 0.500
0.451 0.901 0.171
0.066 0.615 0.845
0.375 0.255 0.500
0.934 0.385 0.155
0.760 0.000 0.000
0.240 0.000 0.000
```

Calculated values
The symmetry is C2/m (12).

---

# 3
DFT (GGA-PBE) results for an optimized crystal structure of Ac5Pt2Rh2.

Geometry as POSCAR:
```
Ac5Pt2Rh2
1.0
7.702 0.000 2.796
0.000 8.147 0.000
1.182 0.000 8.750
Pt Ac Rh
4 10 4
direct
0.701 0.500 0.599
0.299 0.500 0.401
0.201 0.000 0.599
0.799 0.000 0.401
0.034 0.662 0.272
0.000 0.000 0.000
0.534 0.838 0.272
0.500 0.500 0.000
0.194 0.162 0.272
0.466 0.162 0.728
0.306 0.662 0.728
0.966 0.338 0.728
0.806 0.838 0.728
0.694 0.338 0.272
0.367 0.869 0.000
0.867 0.631 0.000
0.633 0.131 0.000
0.133 0.369 0.000
```

Calculated values
The symmetry is Cmce (64).

---

no.,ΔE_f (eV per atom),DFT total energy (eV/atom)
1,-0.7728,-5.9163
2,-0.6178,-5.7831
3,-0.8384,-6.0969